## CaHf2Si2 (PBE-GGA)

Data for a relaxed CaHf2Si2 crystal.

The structure in POSCAR format:
```
CaHf2Si2
1.0
7.3780 0.0000 0.0000
0.0000 7.3780 0.0000
0.0000 0.0000 3.6155
Ca Hf Si
2 4 4
direct
0.0000 0.0000 0.0000
0.5000 0.5000 0.0000
0.1682 0.3318 0.5000
0.3318 0.8318 0.5000
0.6682 0.1682 0.5000
0.8318 0.6682 0.5000
0.1221 0.6221 0.0000
0.3779 0.1221 0.0000
0.6221 0.8779 0.0000
0.8779 0.3779 0.0000
```

Calculated values
energy above the lowest structure with this stoichiometry	0	meV per atom
space group	P4/mbm (127)
uncorrected energy	-34.90	eV/f.u.
formation energy (no corrections)	-9.9	kcal/mol of atoms
D(E_F)	3.52	states/eV/f.u.
V	98.4	Å³/f.u.
M_tot	0.000	μB per atom